Record 1
AsAuI4 | PBE-GGA | optimized geometry

Cell and atoms, written as POSCAR:
```
AsAuI4
1.0
3.7566 -10.4382 0.0000
3.7566 10.4382 0.0000
-0.7825 0.0000 7.2879
As Au I
2 2 8
direct
0.0483 0.9517 0.7500
0.9517 0.0483 0.2500
0.3557 0.6443 0.2500
0.6443 0.3557 0.7500
0.0749 0.3754 0.4339
0.1696 0.2659 0.9498
0.2659 0.1696 0.4498
0.3754 0.0749 0.9339
0.6246 0.9251 0.0661
0.7341 0.8304 0.5502
0.8304 0.7341 0.0502
0.9251 0.6246 0.5661
```

The calculation puts the calculated total energy at -2.480 eV per atom. The space group is No. 15. The calculation puts the formation energy from raw total energies at -0.1251 eV per atom. The energy above the lowest structure with this stoichiometry comes out at 0 meV per atom.


Record 2
AsAuI3 | PBE-GGA | optimized geometry

Cell and atoms, written as POSCAR:
```
AsAuI3
1.0
4.7105 0.0000 0.0000
-2.2045 10.1450 0.0000
-1.9941 -3.8787 10.0762
As Au I
2 2 6
direct
0.2391 0.4398 0.4243
0.7609 0.5602 0.5757
0.1356 0.1525 0.0232
0.8644 0.8475 0.9768
0.3049 0.5871 0.2739
0.3715 0.2054 0.2963
0.4040 0.8404 0.0978
0.5960 0.1596 0.9022
0.6285 0.7946 0.7037
0.6951 0.4129 0.7261
```

The calculation puts the calculated total energy at -2.568 eV per atom. The space group is No. 2. The calculation puts the formation energy from raw total energies at -0.0530 eV per atom. The energy above the lowest structure with this stoichiometry comes out at 0 meV per atom.


Record 3
La6AsAu2I3 | PBE-GGA | optimized geometry

Cell and atoms, written as POSCAR:
```
La6AsAu2I3
1.0
3.8924 -6.7036 0.0000
3.8924 6.7036 0.0000
-2.5767 0.0000 7.6096
La As Au I
6 1 2 3
direct
0.0966 0.4287 0.7884
0.2372 0.2372 0.2102
0.4287 0.0966 0.7884
0.5713 0.9034 0.2116
0.7628 0.7628 0.7898
0.9034 0.5713 0.2116
0.5000 0.5000 0.0000
0.1672 0.8328 0.0000
0.8328 0.1672 0.0000
0.0000 0.0000 0.5000
0.3363 0.6637 0.5000
0.6637 0.3363 0.5000
```

The calculation puts the calculated total energy at -4.844 eV per atom. The space group is No. 12. The calculation puts the formation energy from raw total energies at -1.0592 eV per atom.


Record 4
La4AsAuI2 | PBE-GGA | optimized geometry

Cell and atoms, written as POSCAR:
```
La4AsAuI2
1.0
7.8779 0.0000 0.0000
0.0000 4.3485 0.0000
-2.4355 0.0000 7.6640
La As Au I
4 1 1 2
direct
0.2289 0.0000 0.2111
0.2656 0.5000 0.7901
0.7344 0.5000 0.2099
0.7711 0.0000 0.7889
0.0000 0.5000 0.0000
0.5000 0.0000 0.0000
0.0000 0.0000 0.5000
0.5000 0.5000 0.5000
```

The calculation puts the calculated total energy at -4.991 eV per atom. The space group is No. 10. The calculation puts the formation energy from raw total energies at -1.1487 eV per atom.


Record 5
Mo2AsAuI | PBE-GGA | optimized geometry

Cell and atoms, written as POSCAR:
```
Mo2AsAuI
1.0
5.3199 0.0000 0.0000
0.0000 5.3199 0.0000
0.0000 0.0000 5.2133
Mo As Au I
2 1 1 1
direct
0.0000 0.5000 0.0000
0.5000 0.0000 0.0000
0.0000 0.0000 0.5000
0.5000 0.5000 0.0000
0.5000 0.5000 0.5000
```

The calculation puts the calculated total energy at -4.279 eV per atom. The space group is No. 123. The calculation puts the formation energy from raw total energies at 1.9492 eV per atom.


Record 6
AsAuI2N | PBE-GGA | optimized geometry

Cell and atoms, written as POSCAR:
```
AsAuI2N
1.0
6.0075 0.0000 0.0000
0.0000 6.0075 0.0000
0.0000 0.0000 3.6190
As Au I N
1 1 2 1
direct
0.0000 0.0000 0.0000
0.5000 0.5000 0.5000
0.0000 0.5000 0.0000
0.5000 0.0000 0.0000
0.0000 0.0000 0.5000
```

The calculation puts the calculated total energy at -3.016 eV per atom. The space group is No. 123. The calculation puts the formation energy from raw total energies at 0.8545 eV per atom. The energy above the lowest structure with this stoichiometry comes out at 0 meV per atom.


Record 7
AsAuI2N | PBE-GGA | optimized geometry

Cell and atoms, written as POSCAR:
```
AsAuI2N
1.0
5.9551 0.0000 0.0000
0.0000 5.9551 0.0000
0.0000 0.0000 3.7778
As Au I N
1 1 2 1
direct
0.0000 0.0000 0.0000
0.5000 0.5000 0.5000
0.0000 0.5000 0.5000
0.5000 0.0000 0.5000
0.5000 0.5000 0.0000
```

The calculation puts the calculated total energy at -2.742 eV per atom. The space group is No. 123. The calculation puts the formation energy from raw total energies at 1.1285 eV per atom. The energy above the lowest structure with this stoichiometry comes out at 274 meV per atom.


Record 8
AsAuIN2 | PBE-GGA | optimized geometry

Cell and atoms, written as POSCAR:
```
AsAuIN2
1.0
4.0405 0.0000 0.0000
0.0000 4.0405 0.0000
0.0000 0.0000 8.3003
As Au I N
1 1 1 2
direct
0.0000 0.0000 0.0000
0.5000 0.5000 0.5000
0.5000 0.5000 0.0000
0.0000 0.5000 0.5000
0.5000 0.0000 0.5000
```

The calculation puts the calculated total energy at -3.471 eV per atom. The space group is No. 123. The calculation puts the formation energy from raw total energies at 1.7541 eV per atom. The energy above the lowest structure with this stoichiometry comes out at 448 meV per atom.


Record 9
AsAuIN2 | PBE-GGA | optimized geometry

Cell and atoms, written as POSCAR:
```
AsAuIN2
1.0
3.8348 0.0000 0.0000
0.0000 3.8348 0.0000
0.0000 0.0000 7.7635
As Au I N
1 1 1 2
direct
0.0000 0.0000 0.0000
0.5000 0.5000 0.5000
0.0000 0.0000 0.5000
0.0000 0.5000 0.0000
0.5000 0.0000 0.0000
```

The calculation puts the calculated total energy at -3.920 eV per atom. The space group is No. 123. The calculation puts the formation energy from raw total energies at 1.3057 eV per atom. The energy above the lowest structure with this stoichiometry comes out at 0 meV per atom.


Record 10
AsPAu2I | PBE-GGA | optimized geometry

Cell and atoms, written as POSCAR:
```
AsPAu2I
1.0
4.6352 0.0000 0.0000
0.0000 4.6352 0.0000
0.0000 0.0000 6.1774
As P Au I
1 1 2 1
direct
0.0000 0.0000 0.0000
0.5000 0.5000 0.5000
0.0000 0.5000 0.5000
0.5000 0.0000 0.5000
0.5000 0.5000 0.0000
```

The calculation puts the calculated total energy at -3.065 eV per atom. The space group is No. 123. The calculation puts the formation energy from raw total energies at 0.5675 eV per atom.


Record 11
As2PtAuI | PBE-GGA | optimized geometry

Cell and atoms, written as POSCAR:
```
As2PtAuI
1.0
4.8837 0.0000 0.0000
0.0000 4.8837 0.0000
0.0000 0.0000 5.3376
As Pt Au I
2 1 1 1
direct
0.0000 0.5000 0.0000
0.5000 0.0000 0.0000
0.0000 0.0000 0.0000
0.0000 0.0000 0.5000
0.5000 0.5000 0.5000
```

The calculation puts the calculated total energy at -3.567 eV per atom. The space group is No. 123. The calculation puts the formation energy from raw total energies at 0.4664 eV per atom.


Record 12
RbAsAuI6 | PBE-GGA | optimized geometry

Cell and atoms, written as POSCAR:
```
RbAsAuI6
1.0
4.4834 -6.0563 0.0000
4.4834 6.0563 0.0000
-2.2571 0.0000 7.2176
Rb As Au I
1 1 1 6
direct
0.0000 0.0000 0.0000
0.4464 0.5536 0.5000
0.8081 0.1919 0.5000
0.1605 0.5461 0.2282
0.1932 0.2532 0.6270
0.4539 0.8395 0.7718
0.5342 0.2273 0.2277
0.7468 0.8068 0.3730
0.7727 0.4658 0.7723
```

The calculation puts the calculated total energy at -2.402 eV per atom. The space group is No. 5. The calculation puts the formation energy from raw total energies at -0.3801 eV per atom.